VASP calculation (PBE-GGA) on a geometry-optimized BaZrP2 structure.

Calculated volume   29.06 Å³/atom
Distance to the lowest polymorph of the same formula   405.7 meV per atom
Formation enthalpy at 0 K   -0.711 eV per atom
M_tot   0.48 μB per cell
Crystal system   tetragonal
Space-group type   P-4m2, No. 115

Unit cell a=5.1005 b=4.4678 c=5.1014 alpha=90.01 beta=90.00 gamma=90.00
Site moments in Bohr magnetons follow the coordinates.
Fractional positions:
1 Ba 0.5000 0.7502 0.8750  0.01
2 P 0.0000 0.1848 0.8750  -0.02
3 P 0.5000 0.3153 0.3750  -0.02
4 Zr 0.0000 0.2497 0.3750  0.26